NaLiHfWO6 (GGA+U, relaxed); density of states at the Fermi level = 0.0 states/eV/cell; raw total energy = -74.5 eV/cell
1.0
2.2518 0.6205 5.1533
-3.3632 0.7960 4.4798
-0.5908 -4.0968 3.8575
Na Li Hf W O
1 1 1 1 6
Direct
0.2500 0.2500 0.2500 Na
0.7500 0.7500 0.7500 Li
0.0000 0.0000 0.0000 Hf
0.5000 0.5000 0.5000 W
0.2576 0.7424 0.2576 O
0.7424 0.2576 0.7424 O
0.2576 0.7424 0.7424 O
0.7424 0.2576 0.2576 O
0.2576 0.2576 0.7424 O
0.7424 0.7424 0.2576 O